# GGA+U K2CeV3F12, relaxed
data_K2CeV3F12
_cell_length_a 7.6856
_cell_length_b 7.6856
_cell_length_c 17.2435
_cell_angle_alpha 90.00
_cell_angle_beta 90.00
_cell_angle_gamma 120.00
_symmetry_space_group_name_H-M 'R -3 m'
_symmetry_Int_Tables_number 166
_symmetry_space_group_name_Hall '-R 3 2"'
loop_
_atom_site_label
_atom_site_fract_x
_atom_site_fract_y
_atom_site_fract_z
K1 0.0000 0.0000 0.1227
Ce1 0.0000 0.0000 0.5000
V1 0.0000 0.5000 0.0000
F1 0.0076 0.5038 0.8796
F2 0.0822 0.5411 0.3126
# **V**: 882 Å³ per cell
# **Raw total energy**: -322.5 eV/cell


# GGA+U K2CeVF6, relaxed
data_K2CeVF6
_cell_length_a 6.060
_cell_length_b 8.880
_cell_length_c 6.805
_cell_angle_alpha 90.00
_cell_angle_beta 90.00
_cell_angle_gamma 90.00
_symmetry_space_group_name_H-M 'P m m n'
_symmetry_Int_Tables_number 59
loop_
_symmetry_equiv_pos_as_xyz
'x,y,z'
'-x,-y,-z'
'-x+1/2,-y+1/2,z'
'x+1/2,y+1/2,-z'
'x+1/2,-y,-z'
'-x+1/2,y,z'
'-x,y+1/2,-z'
'x,-y+1/2,z'
loop_
_atom_site_label
_atom_site_fract_x
_atom_site_fract_y
_atom_site_fract_z
K1 0.250 0.031 0.188
Ce1 0.250 0.250 0.696
V1 0.250 0.750 0.787
F1 0.001 0.750 0.014
F2 0.015 0.250 0.419
F3 0.250 0.508 0.792
# **V**: 366 Å³ per cell
# **Raw total energy**: -111.4 eV/cell